(1)
Computed, not measured: an optimized crystal structure of Ac2Y2Ho7 at the PBE level of DFT.

## Properties
For the density of states at the Fermi level, the calculation gives 17.468 states/eV per cell. The raw total energy comes out at -51.140 eV per cell. Its space group is No. 12.

a = 8.186 Å, b = 8.186 Å, c = 6.196 Å
α = 106.76°, β = 106.76°, γ = 90.25°
Sites, in units of the cell vectors:
Ac1 0.215 0.785 0.000
Ac2 0.785 0.215 0.000
Y1 0.250 0.250 0.080
Y2 0.750 0.750 0.920
Ho1 0.000 0.000 0.500
Ho2 0.061 0.597 0.341
Ho3 0.402 0.402 0.681
Ho4 0.403 0.939 0.659
Ho5 0.597 0.061 0.341
Ho6 0.598 0.598 0.319
Ho7 0.939 0.403 0.659

***

(2)
Computed, not measured: an optimized crystal structure of AcY5Ho at the PBE level of DFT.

## Properties
For the density of states at the Fermi level, the calculation gives 22.048 states/eV per cell. The raw total energy comes out at -79.152 eV per cell. Its space group is No. 15.

a = 8.632 Å, b = 8.632 Å, c = 7.093 Å
α = 102.32°, β = 102.32°, γ = 98.81°
Sites, in units of the cell vectors:
Ac1 0.155 0.845 0.750
Ac2 0.845 0.155 0.250
Y1 0.112 0.888 0.250
Y2 0.234 0.278 0.640
Y3 0.278 0.234 0.140
Y4 0.345 0.603 0.466
Y5 0.397 0.655 0.034
Y6 0.603 0.345 0.966
Y7 0.655 0.397 0.534
Y8 0.722 0.766 0.860
Y9 0.766 0.722 0.360
Y10 0.888 0.112 0.750
Ho1 0.000 0.500 0.000
Ho2 0.500 0.000 0.500